Entry 1:
A relaxed structure of Sc3TlH, computed with PBE.

Output
energy relative to the lowest polymorph listed for this composition	210	meV/atom

a b c (Å): 5.7908 5.7908 5.7908
angles (deg): 88.41 88.41 88.41
Closest atoms and distances in Å follow each position.
Atoms (fractional coordinates):
Sc: 0.5123 0.7500 0.9877  1 H 1.92
Sc: 0.4877 0.2500 0.0123  1 H 1.92
Sc: 0.2500 0.0123 0.4877  1 H 1.92
Sc: 0.0123 0.4877 0.2500  1 H 1.92
Sc: 0.9877 0.5123 0.7500  1 H 1.92
Sc: 0.7500 0.9877 0.5123  1 H 1.92
H: 0.2500 0.2500 0.2500  3 Sc 1.92
H: 0.7500 0.7500 0.7500  3 Sc 1.92
Tl: 0.5000 0.5000 0.5000  2 H 2.58
Tl: 0.0000 0.0000 0.0000  2 H 2.58

***

Entry 2:
A relaxed structure of VTeSI2, computed with PBE.

Output
formation energy without anion corrections	0.500	eV per atom
energy relative to the lowest polymorph listed for this composition	0	meV/atom

a b c (Å): 5.1999 5.1999 5.3016
angles (deg): 90.00 90.00 90.00
Closest atoms and distances in Å follow each position.
Atoms (fractional coordinates):
V: 0.0000 0.0000 0.0000  4 I 2.60, 2 Te 2.65
I: 0.0000 0.5000 0.0000  2 V 2.60
I: 0.5000 0.0000 0.0000  2 V 2.60
S: 0.5000 0.5000 0.5000  4 Te 3.68, 8 I 3.71
Te: 0.0000 0.0000 0.5000  2 V 2.65

***

Entry 3:
A relaxed structure of PmSm2Y4Tm2, computed with PBE.

Output
calculated formation energy	0.006	eV per atom

a b c (Å): 3.6093 9.5246 9.5811
angles (deg): 115.19 90.00 100.92
Closest atoms and distances in Å follow each position.
Atoms (fractional coordinates):
Tm: 0.6678 0.3356 0.0012  3 Sm 3.52-3.55, 3 Y 3.55-3.57, 4 Tm 3.57-3.61, 2 Pm 3.62
Tm: 0.3322 0.6644 0.9988  3 Sm 3.52-3.55, 3 Y 3.55-3.57, 4 Tm 3.57-3.61, 2 Pm 3.62
Pm: 0.0000 0.0000 0.0000  6 Y 3.55, 2 Pm 3.61, 4 Tm 3.62
Sm: 0.1485 0.2969 0.6681  3 Tm 3.52-3.55, 7 Y 3.56-3.61, 2 Sm 3.61
Sm: 0.8515 0.7031 0.3319  3 Tm 3.52-3.55, 7 Y 3.56-3.61, 2 Sm 3.61
Y: 0.1854 0.3707 0.3330  2 Tm 3.55, 1 Pm 3.55, 6 Y 3.55-3.61, 3 Sm 3.56-3.60
Y: 0.5189 0.0378 0.3335  2 Pm 3.55, 5 Y 3.56-3.61, 4 Sm 3.56-3.61, 1 Tm 3.57
Y: 0.8146 0.6293 0.6670  2 Tm 3.55, 1 Pm 3.55, 6 Y 3.55-3.61, 3 Sm 3.56-3.60
Y: 0.4811 0.9622 0.6665  2 Pm 3.55, 5 Y 3.56-3.61, 4 Sm 3.56-3.61, 1 Tm 3.57

***

Entry 4:
A relaxed structure of Fe2IrCl, computed with PBE.

Output
formation energy without anion corrections	0.403	eV per atom
energy relative to the lowest polymorph listed for this composition	274	meV/atom

a b c (Å): 5.2058 5.2058 4.1221
angles (deg): 87.18 87.18 31.39
Closest atoms and distances in Å follow each position.
Atoms (fractional coordinates):
Ir: 0.5352 0.5352 0.4433  1 Cl 2.48, 5 Fe 2.57-2.68
Fe: 0.2823 0.2823 0.2910  4 Fe 2.54-2.82, 4 Cl 2.54-2.56, 1 Ir 2.64
Fe: 0.9539 0.9539 0.9714  1 Cl 2.41, 2 Fe 2.54, 4 Ir 2.57-2.68
Cl: 0.7286 0.7286 0.7944  5 Fe 2.41-2.56, 1 Ir 2.48

***

Entry 5:
A relaxed structure of Tl2GaPbO6, computed with PBE.

Output
formation energy without anion corrections	-0.955	eV per atom

a b c (Å): 5.6956 5.6943 5.9679
angles (deg): 61.52 61.50 59.99
Closest atoms and distances in Å follow each position.
Atoms (fractional coordinates):
O: 0.9603 0.5817 0.2462  1 Ga 2.02, 1 Tl 2.26
O: 0.2120 0.9603 0.2461  1 Ga 2.02, 1 Tl 2.25
O: 0.6801 0.1297 0.7749  1 Ga 2.10, 1 Tl 2.23, 1 Pb 2.27
O: 0.5817 0.2120 0.2461  1 Ga 2.02, 1 Tl 2.25
O: 0.1296 0.4153 0.7749  1 Ga 2.10, 1 Tl 2.23, 1 Pb 2.27
O: 0.4152 0.6801 0.7748  1 Ga 2.10, 1 Tl 2.23, 1 Pb 2.27
Tl: 0.0266 0.0266 0.9203  6 O 2.23-2.43
Tl: 0.5352 0.5352 0.3943  6 O 2.25-2.46
Ga: 0.3152 0.3151 0.0545  6 O 2.02-2.10
Pb: 0.8057 0.8056 0.5830  6 O 2.27-2.47

***

Entry 6:
A relaxed structure of Tb2Er3Tm3, computed with PBE.

Output
calculated formation energy	0.024	eV per atom
energy relative to the lowest polymorph listed for this composition	0	meV/atom

a b c (Å): 4.9573 4.9580 10.5143
angles (deg): 103.64 103.64 90.00
Closest atoms and distances in Å follow each position.
Atoms (fractional coordinates):
Er: 0.3759 0.3759 0.7519  6 Tm 3.49-3.51, 2 Er 3.49, 4 Tb 3.52
Er: 0.5000 0.0000 0.0000  4 Er 3.49, 8 Tm 3.49-3.51
Er: 0.6241 0.6241 0.2481  6 Tm 3.49-3.51, 2 Er 3.49, 4 Tb 3.52
Tb: 0.7500 0.2499 0.5000  4 Tb 3.51, 4 Tm 3.52, 4 Er 3.52
Tb: 0.2500 0.7501 0.5000  4 Tb 3.51, 4 Tm 3.52, 4 Er 3.52
Tm: 0.1242 0.1242 0.2484  6 Er 3.49-3.51, 2 Tm 3.49, 4 Tb 3.52
Tm: 0.8758 0.8758 0.7516  6 Er 3.49-3.51, 2 Tm 3.49, 4 Tb 3.52
Tm: 0.0000 0.5000 0.0000  8 Er 3.49-3.51, 4 Tm 3.49

***

Entry 7:
A relaxed structure of BaNiCl2, computed with PBE.

Output
formation energy without anion corrections	-1.287	eV per atom
energy relative to the lowest polymorph listed for this composition	0	meV/atom

a b c (Å): 5.4152 5.4152 5.0686
angles (deg): 93.30 93.30 51.45
Closest atoms and distances in Å follow each position.
Atoms (fractional coordinates):
Ba: 0.7500 0.7500 0.7500  6 Cl 3.19-3.32, 4 Ni 3.46
Cl: 0.4249 0.4249 0.5116  1 Ni 2.09
Cl: 0.0751 0.0751 0.9884  1 Ni 2.09
Ni: 0.2500 0.2500 0.2500  2 Cl 2.09

***

Entry 8:
A relaxed structure of Cs2HfSbS4, computed with PBE.

Output
formation energy without anion corrections	-0.980	eV per atom

a b c (Å): 7.1119 7.9502 12.9579
angles (deg): 82.95 74.07 63.43
Closest atoms and distances in Å follow each position.
Atoms (fractional coordinates):
Cs: 0.1809 0.0000 0.6381  6 S 3.65-4.00
Cs: 0.5691 0.5000 0.8619  6 S 3.65-4.00
Cs: 0.8191 0.0000 0.3619  6 S 3.65-4.00
Cs: 0.9309 0.5000 0.1381  6 S 3.65-4.00
Sb: 0.2500 0.5000 0.5000  4 S 2.80
Sb: 0.5000 0.0000 0.0000  4 S 2.80
S: 0.1763 0.1744 0.8870  1 Hf 2.39
S: 0.1007 0.3256 0.3870  1 Hf 2.39
S: 0.6493 0.1744 0.1130  1 Hf 2.39
S: 0.5737 0.3256 0.6130  1 Hf 2.39
S: 0.9367 0.8256 0.8870  1 Hf 2.39
S: 0.5123 0.6744 0.3870  1 Hf 2.39
S: 0.2377 0.8256 0.1130  1 Hf 2.39
S: 0.8133 0.6744 0.6130  1 Hf 2.39
Hf: 0.7500 0.5000 0.5000  4 S 2.39
Hf: 0.0000 0.0000 0.0000  4 S 2.39

***

Entry 9:
A relaxed structure of Tb11Tl9In4, computed with PBE.

Output
calculated formation energy	-0.344	eV per atom

a b c (Å): 3.6066 13.6609 13.6609
angles (deg): 101.96 90.00 90.00
Closest atoms and distances in Å follow each position.
Atoms (fractional coordinates):
Tl: 0.5000 0.0219 0.2035  8 Tb 3.27-3.33, 2 Tl 3.61
Tl: 0.5000 0.7965 0.9781  8 Tb 3.27-3.33, 2 Tl 3.61
Tl: 0.5000 0.1452 0.6109  1 In 3.27, 8 Tb 3.28-3.43, 2 Tl 3.61
Tl: 0.5000 0.5000 0.5000  4 In 3.08, 4 Tb 3.42
Tl: 0.5000 0.8548 0.3891  1 In 3.27, 8 Tb 3.28-3.43, 2 Tl 3.61
Tl: 0.5000 0.2035 0.0219  8 Tb 3.27-3.33, 2 Tl 3.61
Tl: 0.5000 0.6109 0.1452  1 In 3.27, 8 Tb 3.28-3.43, 2 Tl 3.61
Tl: 0.5000 0.9781 0.7965  8 Tb 3.27-3.33, 2 Tl 3.61
Tl: 0.5000 0.3891 0.8548  1 In 3.27, 8 Tb 3.28-3.43, 2 Tl 3.61
Tb: 0.0000 0.2312 0.2312  4 In 3.22, 4 Tl 3.33, 4 Tb 3.60-3.61
Tb: 0.0000 0.0687 0.4080  2 In 3.25, 6 Tl 3.27-3.40, 4 Tb 3.44-3.61
Tb: 0.0000 0.3630 0.6370  4 In 3.36, 6 Tl 3.42-3.43, 2 Tb 3.61
Tb: 0.0000 0.4080 0.0687  2 In 3.25, 6 Tl 3.27-3.40, 4 Tb 3.44-3.61
Tb: 0.0000 0.5920 0.9313  2 In 3.25, 6 Tl 3.27-3.40, 4 Tb 3.44-3.61
Tb: 0.0000 0.9313 0.5920  2 In 3.25, 6 Tl 3.27-3.40, 4 Tb 3.44-3.61
Tb: 0.0000 0.7688 0.7688  4 In 3.22, 4 Tl 3.33, 4 Tb 3.60-3.61
Tb: 0.0000 0.8155 0.1845  8 Tl 3.28-3.31, 2 Tb 3.61
Tb: 0.0000 0.0000 0.0000  8 Tl 3.27, 2 Tb 3.61
Tb: 0.0000 0.1845 0.8155  8 Tl 3.28-3.31, 2 Tb 3.61
Tb: 0.0000 0.6370 0.3630  4 In 3.36, 6 Tl 3.42-3.43, 2 Tb 3.61
In: 0.5000 0.7298 0.5688  2 Tl 3.08-3.27, 6 Tb 3.22-3.36, 1 In 3.42
In: 0.5000 0.4312 0.2702  2 Tl 3.08-3.27, 6 Tb 3.22-3.36, 1 In 3.42
In: 0.5000 0.5688 0.7298  2 Tl 3.08-3.27, 6 Tb 3.22-3.36, 1 In 3.42
In: 0.5000 0.2702 0.4312  2 Tl 3.08-3.27, 6 Tb 3.22-3.36, 1 In 3.42

***

Entry 10:
A relaxed structure of LiLuInAg, computed with PBE.

Output
calculated formation energy	-0.347	eV per atom

a b c (Å): 4.8189 4.8189 4.8189
angles (deg): 60.00 60.00 60.00
Closest atoms and distances in Å follow each position.
Atoms (fractional coordinates):
Lu: 0.0000 0.0000 0.0000  4 Li 2.95, 4 Ag 2.95
In: 0.5000 0.5000 0.5000  4 Li 2.95, 4 Ag 2.95
Ag: 0.2500 0.2500 0.2500  4 In 2.95, 4 Lu 2.95
Li: 0.7500 0.7500 0.7500  4 In 2.95, 4 Lu 2.95

***

Entry 11:
A relaxed structure of P2OsPt, computed with PBE.

Output
calculated formation energy	0.403	eV per atom
energy relative to the lowest polymorph listed for this composition	621	meV/atom

a b c (Å): 2.8782 2.8782 8.3574
angles (deg): 90.00 90.00 121.23
Closest atoms and distances in Å follow each position.
Atoms (fractional coordinates):
P: 0.0000 0.0000 0.9864  2 Os 2.43, 2 Pt 2.62
P: 0.0000 0.0000 0.5136  2 Os 2.43, 2 Pt 2.62
Os: 0.5000 0.5000 0.7500  4 P 2.43
Pt: 0.5000 0.5000 0.2500  4 P 2.62, 6 Pt 2.82-2.88

***

Entry 12:
A relaxed structure of ScGa4Sn, computed with PBE.

Output
calculated formation energy	-0.171	eV per atom

a b c (Å): 5.4866 5.4866 5.4866
angles (deg): 60.00 60.00 60.00
Closest atoms and distances in Å follow each position.
Atoms (fractional coordinates):
Ga: 0.6255 0.6255 0.1235  6 Ga 2.73-2.75
Ga: 0.6255 0.1235 0.6255  6 Ga 2.73-2.75
Ga: 0.1235 0.6255 0.6255  6 Ga 2.73-2.75
Ga: 0.6255 0.6255 0.6255  6 Ga 2.73-2.75
Sn: 0.2500 0.2500 0.2500  12 Ga 3.22, 4 Sc 3.36
Sc: 0.0000 0.0000 0.0000  12 Ga 3.22, 4 Sn 3.36